An optimized crystal structure of Al2VSnSe, computed with PBE.

Values from the calculation:
energy relative to the elements, uncorrected	1.1049	eV/atom

Geometry as CIF:
```
data_Al2VSnSe
_chemical_formula_sum 'Al2 V1 Sn1 Se1'
_space_group_name_H-M_alt 'P 1'
_space_group_IT_number 1
_cell_length_a 4.767
_cell_length_b 4.767
_cell_length_c 5.407
_cell_angle_alpha 90.00
_cell_angle_beta 90.00
_cell_angle_gamma 90.00
loop_
_space_group_symop_operation_xyz
'x,y,z'
loop_
_atom_site_label
_atom_site_type_symbol
_atom_site_fract_x
_atom_site_fract_y
_atom_site_fract_z
Al1 Al 0.000 0.500 0.000
Al2 Al 0.500 0.000 0.000
V1 V 0.000 0.000 0.500
Sn1 Sn 0.500 0.500 0.500
Se1 Se 0.500 0.500 0.000
```